{"formula": "DyScAl", "functional": "PBE-GGA", "state": "optimized geometry", "lattice": [[3.5808, 0.0000, 0.0000], [0.0000, 5.0946, 0.0000], [-1.7906, 0.0000, 7.8393]], "species": ["Dy", "Dy", "Sc", "Sc", "Al", "Al"], "frac_coords": [[0.0785, 0.2500, 0.1577], [0.9215, 0.7500, 0.8423], [0.2318, 0.7500, 0.4639], [0.7682, 0.2500, 0.5361], [0.4133, 0.2500, 0.8262], [0.5867, 0.7500, 0.1738]], "polymorph_energy_mev_per_atom": 0, "e_tot_ev_per_atom": -5.18, "formation_energy_ev_per_atom": -0.290, "vol_a3_per_cell": 143.0}

{"formula": "DyScAl6", "functional": "PBE-GGA", "state": "optimized geometry", "lattice": [[6.0037, 0.0000, 0.0000], [-3.0019, 5.1994, 0.0000], [0.0000, 0.0000, 4.7338]], "species": ["Dy", "Sc", "Al", "Al", "Al", "Al", "Al", "Al"], "frac_coords": [[0.0000, 0.0000, 0.0000], [0.6667, 0.3333, 0.5000], [0.0196, 0.5098, 0.0000], [0.1816, 0.3633, 0.5000], [0.1816, 0.8184, 0.5000], [0.4902, 0.5098, 0.0000], [0.4902, 0.9804, 0.0000], [0.6367, 0.8184, 0.5000]], "e_tot_ev_per_atom": -4.57, "formation_energy_ev_per_atom": -0.401, "vol_a3_per_cell": 147.8}

{"formula": "DySc2Al2", "functional": "PBE-GGA", "state": "optimized geometry", "lattice": [[5.2879, 0.0000, 0.0000], [0.0000, 3.4839, 0.0000], [-1.3316, 0.0000, 12.7616]], "species": ["Dy", "Dy", "Sc", "Sc", "Sc", "Sc", "Al", "Al", "Al", "Al"], "frac_coords": [[0.1854, 0.2500, 0.2418], [0.8146, 0.7500, 0.7582], [0.2419, 0.7500, 0.4683], [0.3401, 0.2500, 0.8873], [0.6599, 0.7500, 0.1127], [0.7581, 0.2500, 0.5317], [0.1611, 0.7500, 0.0430], [0.2901, 0.2500, 0.6590], [0.7099, 0.7500, 0.3410], [0.8389, 0.2500, 0.9570]], "polymorph_energy_mev_per_atom": 141, "e_tot_ev_per_atom": -5.15, "formation_energy_ev_per_atom": -0.196, "vol_a3_per_cell": 235.1}